Here is a relaxed structure of GaTeAsN2 from Alexandria. Energies are from PBE.

Calculated values
Formation energy without anion corrections: 1.3431 eV/atom
Total magnetization: 3.30 Bohr magnetons per cell
Energy above the most stable polymorph in this dataset: 3.84 kcal/mol of atoms

a b c (Å): 3.9518 3.9518 6.3581
angles (deg): 90.00 90.00 90.00
Last column: nearest neighbours and their distance in Å.
Positions (direct):
N 0.0000 0.5000 0.0000  2 Ga 1.98
N 0.5000 0.0000 0.0000  2 Ga 1.98
As 0.5000 0.5000 0.5000  4 Te 2.79
Ga 0.0000 0.0000 0.0000  4 N 1.98
Te 0.0000 0.0000 0.5000  4 As 2.79

---

Here is a relaxed structure of SrEuLu from Alexandria. Energies are from PBE.

Calculated values
Total magnetization: 7.93 Bohr magnetons per cell
Energy above the most stable polymorph in this dataset: 0.20 kcal/mol of atoms
Formation enthalpy at 0 K: 3.95 kcal/mol of atoms

a b c (Å): 3.8177 3.8177 9.4417
angles (deg): 90.00 90.00 120.00
Last column: nearest neighbours and their distance in Å.
Positions (direct):
Sr 0.0000 0.0000 0.0121  6 Sr 3.82, 3 Lu 3.82, 3 Eu 4.11
Lu 0.6667 0.3333 0.3429  3 Eu 3.60, 6 Lu 3.82, 3 Sr 3.82
Eu 0.3333 0.6667 0.6450  3 Lu 3.60, 6 Eu 3.82

---

Here is a relaxed structure of TbHf2TiN4 from Alexandria. Energies are from PBE.

Calculated values
Formation energy without anion corrections: -1.4943 eV/atom
Total magnetization: 0.00 Bohr magnetons per cell

a b c (Å): 3.2049 5.8393 11.3709
angles (deg): 90.00 90.00 105.93
Last column: nearest neighbours and their distance in Å.
Positions (direct):
Tb 0.1161 0.2323 0.7500  6 N 2.38-2.60
Tb 0.8839 0.7677 0.2500  6 N 2.38-2.60
N 0.7395 0.4791 0.6170  1 Ti 1.96, 1 Hf 2.12
N 0.2605 0.5209 0.3830  1 Ti 1.96, 1 Hf 2.12
N 0.0000 0.0000 0.0000  4 Hf 2.21
N 0.5409 0.0818 0.2500  2 Ti 2.01
N 0.0000 0.0000 0.5000  4 Hf 2.21
N 0.4591 0.9182 0.7500  2 Ti 2.01
N 0.2605 0.5209 0.1170  1 Ti 1.96, 1 Hf 2.12
N 0.7395 0.4791 0.8830  1 Ti 1.96, 1 Hf 2.12
Hf 0.3689 0.7377 0.9640  5 N 2.12-2.35
Hf 0.6311 0.2623 0.0360  5 N 2.12-2.35
Hf 0.3689 0.7377 0.5360  5 N 2.12-2.35
Hf 0.6311 0.2623 0.4640  5 N 2.12-2.35
Ti 0.1488 0.2976 0.2500  4 N 1.96-2.01
Ti 0.8512 0.7024 0.7500  4 N 1.96-2.01

---

Here is a relaxed structure of MnTc2Ru from Alexandria. Energies are from PBE.

Calculated values
Total magnetization: 1.04 Bohr magnetons per cell
Energy above the most stable polymorph in this dataset: 0.76 kcal/mol of atoms
Formation enthalpy at 0 K: 2.04 kcal/mol of atoms

a b c (Å): 2.6929 2.6929 7.5201
angles (deg): 90.00 90.00 90.00
Last column: nearest neighbours and their distance in Å.
Positions (direct):
Mn 0.0000 0.0000 0.5014  4 Tc 2.60, 4 Ru 2.61, 4 Mn 2.69
Tc 0.0000 0.0000 0.9941  8 Tc 2.69-2.80, 4 Ru 2.71
Tc 0.5000 0.5000 0.2667  4 Mn 2.60, 8 Tc 2.69-2.80
Ru 0.5000 0.5000 0.7378  4 Mn 2.61, 4 Ru 2.69, 4 Tc 2.71

---

Here is a relaxed structure of EuTmGaRu from Alexandria. Energies are from PBE.

Calculated values
Total magnetization: 6.55 Bohr magnetons per cell
Formation enthalpy at 0 K: -5.49 kcal/mol of atoms

a b c (Å): 4.9616 4.9616 4.9616
angles (deg): 60.00 60.00 60.00
Last column: nearest neighbours and their distance in Å.
Positions (direct):
Eu 0.5000 0.5000 0.5000  4 Ru 3.04, 4 Ga 3.04
Tm 0.0000 0.0000 0.0000  4 Ru 3.04, 4 Ga 3.04
Ga 0.7500 0.7500 0.7500  4 Tm 3.04, 4 Eu 3.04
Ru 0.2500 0.2500 0.2500  4 Tm 3.04, 4 Eu 3.04

---

Here is a relaxed structure of YCr2Cd from Alexandria. Energies are from PBE.

Calculated values
Total magnetization: 0.01 Bohr magnetons per cell
Formation enthalpy at 0 K: 4.40 kcal/mol of atoms

a b c (Å): 3.1639 3.1639 7.5461
angles (deg): 90.00 90.00 90.00
Last column: nearest neighbours and their distance in Å.
Positions (direct):
Cr 0.5000 0.5000 0.1842  4 Cr 2.46
Cr 0.0000 0.0000 0.0481  4 Cr 2.46
Y 0.0000 0.0000 0.4732  5 Cr 3.12-3.21, 4 Y 3.16, 4 Cd 3.30
Cd 0.5000 0.5000 0.7946  5 Cr 2.94, 4 Cd 3.16

---

> Which of these has the lowest total magnetization?

TbHf2TiN4

---

> Among the records above, which one has the lowest total magnetization?

TbHf2TiN4